Entry 1:
A plane-wave DFT calculation with PBE was carried out for Tb6ZnPd2 after structural relaxation.

It has space group Immm (No. 71), with a = 9.473 Å, b = 9.698 Å, c = 10.292 Å, α = 90.00°, β = 90.00° and γ = 90.00°. The asymmetric unit holds Tb at (0.000, 0.190, 0.241), Tb at (0.202, 0.500, 0.171), Tb at (0.219, 0.322, 0.500), Zn at (0.000, 0.000, 0.000), Zn at (0.000, 0.000, 0.500), Pd at (0.000, 0.341, 0.000) and Pd at (0.000, 0.500, 0.367).

The value obtained for the total energy is -174.68 eV for the cell shown.

***

Entry 2:
A plane-wave DFT calculation with PBE was carried out for HoTlNiAu after structural relaxation.

It has space group F-43m (No. 216), with a = 6.832 Å, b = 6.832 Å, c = 6.832 Å, α = 90.00°, β = 90.00° and γ = 90.00°. The asymmetric unit holds Ho at (0.000, 0.000, 0.000), Tl at (0.000, 0.000, 0.500), Ni at (0.250, 0.250, 0.250) and Au at (0.250, 0.250, 0.750).

The value obtained for the total energy is -68.98 eV for the cell shown.

***

Entry 3:
A plane-wave DFT calculation with PBE was carried out for NdCo2AsN after structural relaxation.

It has space group Cmcm (No. 63), with a = 3.706 Å, b = 11.036 Å, c = 6.924 Å, α = 90.00°, β = 90.00° and γ = 90.00°. The asymmetric unit holds Nd at (0.000, 0.041, 0.250), Co at (0.000, 0.337, 0.052), As at (0.000, 0.231, 0.750) and N at (0.000, 0.500, 0.000).

For the uncorrected formation energy, the calculation gives -0.721 eV per atom.

***

Entry 4:
A plane-wave DFT calculation with PBE was carried out for Dy5Zn2Cd2 after structural relaxation.

It has space group Cmce (No. 64), with a = 17.462 Å, b = 7.338 Å, c = 7.372 Å, α = 90.00°, β = 90.00° and γ = 90.00°. The asymmetric unit holds Dy at (0.000, 0.000, 0.000), Dy at (0.130, 0.185, 0.319), Zn at (0.000, 0.119, 0.621) and Cd at (0.227, 0.000, 0.000).

The value obtained for the total energy is -117.56 eV for the cell shown.